(1)
VASP calculation (PBE-GGA) on crystalline Li2Pa2MnS6 at its relaxed geometry.

Summary:
As for the crystal system: monoclinic.

a = 6.4110 Å, b = 10.8562 Å, c = 6.6632 Å
α = 90.00°, β = 107.06°, γ = 90.00°
Space group C2/m (No. 12)
Asymmetric unit:
Li1 0.0000 0.1635 0.0000
Pa1 0.0000 0.3410 0.5000
Mn1 0.0000 0.0000 0.5000
S1 0.2116 0.0000 0.2538
S2 0.2239 0.1541 0.7350

=====

(2)
VASP calculation (PBE-GGA) on crystalline LiPa2MnSe6 at its relaxed geometry.

Summary:
As for the crystal system: trigonal.

a = 6.8544 Å, b = 6.8544 Å, c = 19.2958 Å
α = 90.00°, β = 90.00°, γ = 120.00°
Space group R3 (No. 146, hexagonal axes)
Asymmetric unit:
Li1 0.0000 0.0000 0.0000
Pa1 0.0000 0.0000 0.3122
Pa2 0.0000 0.0000 0.8161
Mn1 0.0000 0.0000 0.4863
Se1 0.0022 0.3525 0.2363
Se2 0.0177 0.6676 0.0711

=====

(3)
VASP calculation (PBE-GGA) on crystalline LiPaMn2Se6 at its relaxed geometry.

Summary:
As for the crystal system: trigonal.

a = 6.6755 Å, b = 6.6755 Å, c = 18.1595 Å
α = 90.00°, β = 90.00°, γ = 120.00°
Space group R3 (No. 146, hexagonal axes)
Asymmetric unit:
Li1 0.0000 0.0000 0.0000
Pa1 0.0000 0.0000 0.4936
Mn1 0.0000 0.0000 0.3064
Mn2 0.0000 0.0000 0.8098
Se1 0.0132 0.6359 0.5641
Se2 0.0368 0.3347 0.3949

=====

| no. | DFT total energy (eV for the cell shown) |
| --- | --- |
| 1 | -140.8 |
| 2 | -186.0 |
| 3 | -176.3 |